## AlZnBN2 (GGA-PBE)

Data for an optimized crystal structure of AlZnBN2.

Values from the calculation:
The total magnetic moment is 0.000 μB per formula unit. The calculation puts the formation energy from raw total energies at 1207 meV per atom. The calculation puts the total energy at -4.462 eV per atom. The density of states at the Fermi level is 0.3481 states/eV/atom.

Cell and atoms, written as CIF:
```
data_AlZnBN2
_symmetry_space_group_name_H-M 'P 1'
_symmetry_Int_Tables_number 1
_cell_length_a 3.308
_cell_length_b 5.207
_cell_length_c 3.308
_cell_angle_alpha 90.00
_cell_angle_beta 90.00
_cell_angle_gamma 90.00
loop_
_symmetry_equiv_pos_as_xyz
'x,y,z'
loop_
_atom_site_label
_atom_site_fract_x
_atom_site_fract_y
_atom_site_fract_z
N1 0.500 0.000 0.000
Al1 0.500 0.500 0.500
Zn1 0.000 0.500 0.000
N2 0.000 0.000 0.500
B1 0.000 0.000 0.000
```

## MgTlAg2Hg (GGA-PBE)

Data for an optimized crystal structure of MgTlAg2Hg.

Values from the calculation:
The total magnetic moment is 0.000 μB per formula unit. The calculation puts the total energy at -1.443 eV per atom. The calculation puts the formation energy at 0.550 eV/atom. The density of states at the Fermi level is 0.4140 states/eV/atom.

Cell and atoms, written as CIF:
```
data_MgTlAg2Hg
_symmetry_space_group_name_H-M 'P 1'
_symmetry_Int_Tables_number 1
_cell_length_a 5.352
_cell_length_b 5.630
_cell_length_c 5.352
_cell_angle_alpha 90.00
_cell_angle_beta 90.00
_cell_angle_gamma 90.00
loop_
_symmetry_equiv_pos_as_xyz
'x,y,z'
loop_
_atom_site_label
_atom_site_fract_x
_atom_site_fract_y
_atom_site_fract_z
Tl1 0.000 0.000 0.000
Ag1 0.500 0.000 0.000
Ag2 0.000 0.000 0.500
Mg1 0.500 0.500 0.500
Hg1 0.000 0.500 0.000
```

## CdIn (GGA-PBE)

Data for an optimized crystal structure of CdIn.

Values from the calculation:
The total magnetic moment is 0.000 μB per formula unit. The calculation puts the total energy at -1.796 eV per atom. The calculation puts the formation energy at 0.031 eV/atom. The density of states at the Fermi level is 0.2432 states/eV/atom.

Cell and atoms, written as CIF:
```
data_CdIn
_symmetry_space_group_name_H-M 'P 1'
_symmetry_Int_Tables_number 1
_cell_length_a 6.006
_cell_length_b 6.006
_cell_length_c 8.485
_cell_angle_alpha 69.00
_cell_angle_beta 69.00
_cell_angle_gamma 32.06
loop_
_symmetry_equiv_pos_as_xyz
'x,y,z'
loop_
_atom_site_label
_atom_site_fract_x
_atom_site_fract_y
_atom_site_fract_z
In1 0.648 0.648 0.692
In2 0.302 0.302 0.927
Cd1 0.620 0.620 0.257
Cd2 0.001 0.001 0.034
Cd3 0.318 0.318 0.345
In3 0.944 0.944 0.579
```

## Ac6Ag2N (GGA-PBE)

Data for an optimized crystal structure of Ac6Ag2N.

Values from the calculation:
The total magnetic moment is 0.000 μB per formula unit. The calculation puts the formation energy from raw total energies at -342 meV per atom. The calculation puts the total energy at -4.639 eV per atom. The density of states at the Fermi level is 1.0231 states/eV/atom.

Cell and atoms, written as CIF:
```
data_Ac6Ag2N
_symmetry_space_group_name_H-M 'P 1'
_symmetry_Int_Tables_number 1
_cell_length_a 7.121
_cell_length_b 7.869
_cell_length_c 11.017
_cell_angle_alpha 90.00
_cell_angle_beta 89.22
_cell_angle_gamma 90.00
loop_
_symmetry_equiv_pos_as_xyz
'x,y,z'
loop_
_atom_site_label
_atom_site_fract_x
_atom_site_fract_y
_atom_site_fract_z
Ac1 0.130 0.027 0.263
N1 0.500 0.500 0.000
Ac2 0.684 0.177 0.447
Ag1 0.431 0.101 0.753
Ac3 0.630 0.473 0.763
Ac4 0.184 0.323 0.947
Ac5 0.370 0.527 0.237
Ac6 0.870 0.973 0.737
Ac7 0.161 0.295 0.555
Ac8 0.316 0.823 0.553
Ag2 0.569 0.899 0.247
Ac9 0.816 0.677 0.053
Ag3 0.931 0.399 0.253
N2 0.000 0.000 0.500
Ac10 0.661 0.205 0.055
Ag4 0.069 0.601 0.747
Ac11 0.839 0.705 0.445
Ac12 0.339 0.795 0.945
```

## LuCu2Ru (GGA-PBE)

Data for an optimized crystal structure of LuCu2Ru.

Values from the calculation:
The total magnetic moment is 0.006 μB per formula unit. The calculation puts the total energy at -5.567 eV per atom. The calculation puts the formation energy at -0.070 eV/atom. Its distance to the lowest polymorph of the same formula is 90 meV/atom. The density of states at the Fermi level is 1.2330 states/eV/atom.

Cell and atoms, written as CIF:
```
data_LuCu2Ru
_symmetry_space_group_name_H-M 'P 1'
_symmetry_Int_Tables_number 1
_cell_length_a 4.447
_cell_length_b 4.447
_cell_length_c 4.447
_cell_angle_alpha 60.00
_cell_angle_beta 60.00
_cell_angle_gamma 60.00
loop_
_symmetry_equiv_pos_as_xyz
'x,y,z'
loop_
_atom_site_label
_atom_site_fract_x
_atom_site_fract_y
_atom_site_fract_z
Cu1 0.750 0.750 0.750
Lu1 0.000 0.000 0.000
Ru1 0.500 0.500 0.500
Cu2 0.250 0.250 0.250
```

## RbNiAs (GGA-PBE)

Data for an optimized crystal structure of RbNiAs.

Values from the calculation:
The total magnetic moment is 0.000 μB per formula unit. The calculation puts the total energy at -3.857 eV per atom. The calculation puts the formation energy at -0.057 eV/atom. The density of states at the Fermi level is 0.4260 states/eV/atom.

Cell and atoms, written as CIF:
```
data_RbNiAs
_symmetry_space_group_name_H-M 'P 1'
_symmetry_Int_Tables_number 1
_cell_length_a 3.362
_cell_length_b 3.362
_cell_length_c 6.590
_cell_angle_alpha 104.78
_cell_angle_beta 104.78
_cell_angle_gamma 90.00
loop_
_symmetry_equiv_pos_as_xyz
'x,y,z'
loop_
_atom_site_label
_atom_site_fract_x
_atom_site_fract_y
_atom_site_fract_z
Ni1 0.274 0.274 0.548
Rb1 0.003 0.003 0.006
As1 0.723 0.723 0.446
```

## TcIrSe2N (GGA-PBE)

Data for an optimized crystal structure of TcIrSe2N.

Values from the calculation:
The total magnetic moment is 0.000 μB per formula unit. The calculation puts the formation energy from raw total energies at 860 meV per atom. The calculation puts the total energy at -6.044 eV per atom. Its distance to the lowest polymorph of the same formula is 17 meV/atom. The density of states at the Fermi level is 0.9244 states/eV/atom.

Cell and atoms, written as CIF:
```
data_TcIrSe2N
_symmetry_space_group_name_H-M 'P 1'
_symmetry_Int_Tables_number 1
_cell_length_a 4.951
_cell_length_b 4.951
_cell_length_c 3.630
_cell_angle_alpha 90.00
_cell_angle_beta 90.00
_cell_angle_gamma 90.00
loop_
_symmetry_equiv_pos_as_xyz
'x,y,z'
loop_
_atom_site_label
_atom_site_fract_x
_atom_site_fract_y
_atom_site_fract_z
Tc1 0.000 0.000 0.000
Se1 0.000 0.500 0.000
Ir1 0.500 0.500 0.500
Se2 0.500 0.000 0.000
N1 0.000 0.000 0.500
```

## Pm2TlAu (GGA-PBE)

Data for an optimized crystal structure of Pm2TlAu.

Values from the calculation:
The total magnetic moment is 0.000 μB per formula unit. The calculation puts the total energy at -4.366 eV per atom. The calculation puts the formation energy at -0.580 eV/atom. The density of states at the Fermi level is 0.8009 states/eV/atom.

Cell and atoms, written as CIF:
```
data_Pm2TlAu
_symmetry_space_group_name_H-M 'P 1'
_symmetry_Int_Tables_number 1
_cell_length_a 3.709
_cell_length_b 3.709
_cell_length_c 7.931
_cell_angle_alpha 90.00
_cell_angle_beta 90.00
_cell_angle_gamma 90.00
loop_
_symmetry_equiv_pos_as_xyz
'x,y,z'
loop_
_atom_site_label
_atom_site_fract_x
_atom_site_fract_y
_atom_site_fract_z
Au1 0.500 0.500 0.000
Tl1 0.500 0.500 0.500
Pm1 0.000 0.000 0.770
Pm2 0.000 0.000 0.230
```

## NiSbIrI2 (GGA-PBE)

Data for an optimized crystal structure of NiSbIrI2.

Values from the calculation:
The total magnetic moment is 1.057 μB per formula unit. The calculation puts the formation energy from raw total energies at 958 meV per atom. The calculation puts the total energy at -3.415 eV per atom. Its distance to the lowest polymorph of the same formula is 0 meV/atom. The density of states at the Fermi level is 2.4613 states/eV/atom.

Cell and atoms, written as CIF:
```
data_NiSbIrI2
_symmetry_space_group_name_H-M 'P 1'
_symmetry_Int_Tables_number 1
_cell_length_a 5.609
_cell_length_b 5.609
_cell_length_c 4.946
_cell_angle_alpha 90.00
_cell_angle_beta 90.00
_cell_angle_gamma 90.00
loop_
_symmetry_equiv_pos_as_xyz
'x,y,z'
loop_
_atom_site_label
_atom_site_fract_x
_atom_site_fract_y
_atom_site_fract_z
I1 0.500 0.000 0.000
Ni1 0.500 0.500 0.500
I2 0.000 0.500 0.000
Sb1 0.000 0.000 0.500
Ir1 0.000 0.000 0.000
```

## SmY4Te5 (GGA-PBE)

Data for an optimized crystal structure of SmY4Te5.

Values from the calculation:
The total magnetic moment is 0.000 μB per formula unit. The calculation puts the formation energy from raw total energies at -1326 meV per atom. The calculation puts the total energy at -5.955 eV per atom. The density of states at the Fermi level is 0.5360 states/eV/atom.

Cell and atoms, written as CIF:
```
data_SmY4Te5
_symmetry_space_group_name_H-M 'P 1'
_symmetry_Int_Tables_number 1
_cell_length_a 4.378
_cell_length_b 7.598
_cell_length_c 9.786
_cell_angle_alpha 75.08
_cell_angle_beta 77.07
_cell_angle_gamma 73.25
loop_
_symmetry_equiv_pos_as_xyz
'x,y,z'
loop_
_atom_site_label
_atom_site_fract_x
_atom_site_fract_y
_atom_site_fract_z
Y1 0.797 0.606 0.800
Te1 0.798 0.100 0.305
Te2 0.603 0.692 0.103
Y2 0.599 0.198 0.604
Te3 0.397 0.308 0.897
Te4 0.202 0.900 0.695
Y3 0.401 0.802 0.396
Y4 0.203 0.394 0.200
Te5 0.000 0.500 0.500
Sm1 0.000 0.000 0.000
```